Entry 1:
CuGeN3 (PBE, optimized geometry); DFT total energy = -4.747 eV/atom; formation energy (no corrections) = 1.99 eV per atom
1.0
3.758 0.000 0.000
0.000 3.758 0.000
0.000 0.000 3.758
Cu Ge N
1 1 3
Direct
0.000 0.000 0.000
0.500 0.500 0.500
0.000 0.000 0.500
0.000 0.500 0.000
0.500 0.000 0.000

Entry 2:
LiCd4Hg4 (PBE, optimized geometry); DFT formation energy = 0.02 eV per atom; DFT total energy = -0.731 eV/atom
1.0
-3.813 3.813 4.200
3.813 -3.813 4.200
3.813 3.813 -4.200
Li Cd Hg
1 4 4
Direct
0.000 0.000 0.000
0.000 0.500 0.500
0.332 0.332 0.000
0.500 0.000 0.500
0.668 0.668 0.000
0.079 0.614 0.000
0.386 0.386 0.465
0.614 0.079 0.000
0.921 0.921 0.535

Entry 3:
SmUTe2Se (PBE, optimized geometry); DFT total energy = -6.222 eV/atom; formation energy (no corrections) = -1.07 eV per atom
1.0
4.403 0.000 0.000
0.000 4.403 0.000
0.000 0.000 15.204
Sm U Te Se
2 2 4 2
Direct
0.250 0.250 0.090
0.750 0.750 0.910
0.250 0.250 0.623
0.750 0.750 0.377
0.250 0.250 0.299
0.250 0.250 0.880
0.750 0.750 0.120
0.750 0.750 0.701
0.250 0.750 0.500
0.750 0.250 0.500

Entry 4:
ErCdNi5 (PBE, optimized geometry); DFT formation energy = -0.25 eV per atom; DFT total energy = -5.167 eV/atom
1.0
8.059 0.000 0.000
0.000 4.819 0.000
0.000 0.000 10.289
Er Cd Ni
4 4 20
Direct
0.249 0.250 0.061
0.251 0.750 0.561
0.749 0.250 0.439
0.751 0.750 0.939
0.136 0.750 0.864
0.364 0.250 0.364
0.636 0.750 0.636
0.864 0.250 0.136
0.047 0.750 0.109
0.068 0.000 0.313
0.068 0.500 0.313
0.082 0.250 0.517
0.189 0.250 0.739
0.311 0.750 0.239
0.418 0.750 0.017
0.432 0.000 0.813
0.432 0.500 0.813
0.453 0.250 0.609
0.547 0.750 0.391
0.568 0.000 0.187
0.568 0.500 0.187
0.582 0.250 0.983
0.689 0.250 0.761
0.811 0.750 0.261
0.918 0.750 0.483
0.932 0.000 0.687
0.932 0.500 0.687
0.953 0.250 0.891

Entry 5:
Sc2WI (PBE, optimized geometry); DFT total energy = -6.482 eV/atom; formation energy (no corrections) = 0.31 eV per atom
1.0
1.764 1.018 9.639
-1.764 1.018 9.639
0.000 -2.036 9.639
Sc W I
2 1 1
Direct
0.101 0.101 0.101
0.899 0.899 0.899
0.500 0.500 0.500
0.000 0.000 0.000

Entry 6:
MgSnI2O (PBE, optimized geometry); DFT total energy = -3.413 eV/atom; formation energy (no corrections) = -0.68 eV per atom
1.0
5.923 0.000 0.000
0.000 5.923 0.000
0.000 0.000 3.807
Mg Sn I O
1 1 2 1
Direct
0.000 0.000 0.000
0.500 0.500 0.500
0.000 0.500 0.000
0.500 0.000 0.000
0.000 0.000 0.500

Entry 7:
Zr2AgAu (PBE, optimized geometry); DFT formation energy = -0.17 eV per atom; DFT total energy = -5.974 eV/atom
1.0
-2.090 2.090 4.567
2.090 -2.090 4.567
2.090 2.090 -4.567
Zr Ag Au
2 1 1
Direct
0.000 0.000 0.000
0.750 0.250 0.500
0.250 0.750 0.500
0.500 0.500 0.000

Entry 8:
Th5In2Tc (PBE, optimized geometry); DFT formation energy = 0.26 eV per atom; DFT total energy = -6.354 eV/atom
1.0
2.828 -7.617 0.000
2.828 7.617 0.000
0.000 0.000 12.815
Th In Tc
10 4 2
Direct
0.078 0.922 0.599
0.078 0.922 0.901
0.304 0.696 0.537
0.304 0.696 0.963
0.329 0.671 0.250
0.671 0.329 0.750
0.696 0.304 0.037
0.696 0.304 0.463
0.922 0.078 0.099
0.922 0.078 0.401
0.134 0.866 0.140
0.134 0.866 0.360
0.866 0.134 0.640
0.866 0.134 0.860
0.205 0.795 0.750
0.795 0.205 0.250

Entry 9:
ScFeGeIr2 (PBE, optimized geometry); DFT formation energy = 0.34 eV per atom; DFT total energy = -7.086 eV/atom
1.0
4.570 0.000 0.000
0.000 4.570 0.000
0.000 0.000 4.365
Sc Fe Ge Ir
1 1 1 2
Direct
0.000 0.000 0.000
0.500 0.500 0.000
0.500 0.500 0.500
0.000 0.500 0.500
0.500 0.000 0.500

Entry 10:
Tb8Ho5Sc (PBE, optimized geometry); DFT formation energy = 0.26 eV per atom; DFT total energy = -4.468 eV/atom
1.0
-4.749 4.749 5.005
4.749 -4.749 5.005
4.749 4.749 -5.005
Tb Ho Sc
8 5 1
Direct
0.159 0.428 0.095
0.333 0.065 0.905
0.418 0.161 0.394
0.572 0.667 0.732
0.767 0.024 0.606
0.839 0.233 0.257
0.935 0.841 0.268
0.976 0.582 0.743
0.000 0.000 0.000
0.215 0.317 0.685
0.470 0.785 0.102
0.632 0.530 0.315
0.683 0.368 0.898
0.250 0.750 0.500

Entry 11:
Y2TePt (PBE, optimized geometry); DFT total energy = -6.614 eV/atom; formation energy (no corrections) = -1.09 eV per atom
1.0
3.672 0.000 0.000
0.000 3.700 0.000
-0.012 0.000 7.236
Y Te Pt
2 1 1
Direct
0.000 0.000 0.227
0.000 0.000 0.773
0.500 0.500 0.500
0.500 0.500 0.000

Entry 12:
Pr2GaRhO6 (PBE, optimized geometry); DFT total energy = -7.140 eV/atom; formation energy (no corrections) = -2.17 eV per atom
1.0
5.509 0.000 0.000
0.000 7.882 0.000
0.000 0.000 5.704
Pr Ga Rh O
4 2 2 12
Direct
0.250 0.018 0.225
0.250 0.482 0.225
0.750 0.518 0.775
0.750 0.982 0.775
0.250 0.750 0.746
0.750 0.250 0.254
0.250 0.250 0.743
0.750 0.750 0.257
0.005 0.250 0.007
0.013 0.250 0.472
0.250 0.505 0.783
0.250 0.995 0.783
0.487 0.250 0.472
0.495 0.250 0.007
0.505 0.750 0.993
0.513 0.750 0.528
0.750 0.005 0.217
0.750 0.495 0.217
0.987 0.750 0.528
0.995 0.750 0.993

Entry 13:
Pm4RhS2Cl (PBE, optimized geometry); DFT total energy = -6.084 eV/atom; formation energy (no corrections) = -1.53 eV per atom
1.0
7.114 0.000 0.000
0.000 3.971 0.000
-2.281 0.000 6.826
Pm Rh S Cl
4 1 2 1
Direct
0.235 0.000 0.234
0.237 0.500 0.748
0.763 0.500 0.252
0.765 0.000 0.766
0.000 0.000 0.500
0.000 0.500 0.000
0.500 0.000 0.000
0.500 0.500 0.500

Entry 14:
HfZr2Sc3N6 (PBE, optimized geometry); DFT total energy = -9.861 eV/atom; formation energy (no corrections) = -1.86 eV per atom
1.0
2.792 -4.825 0.000
2.792 4.825 0.000
-1.866 0.000 5.257
Hf Zr Sc N
1 2 3 6
Direct
0.000 0.000 0.000
0.334 0.666 0.000
0.666 0.334 0.000
0.167 0.833 0.500
0.500 0.500 0.500
0.833 0.167 0.500
0.083 0.411 0.250
0.244 0.244 0.751
0.411 0.083 0.250
0.589 0.917 0.750
0.756 0.756 0.249
0.917 0.589 0.750